A.
# AsPtPbO | OQMD | PBE-GGA | relaxed
data_AsPtPbO
_space_group_name_H-M_alt 'P m c 21'
_space_group_IT_number 26
_cell_length_a 4.071
_cell_length_b 4.754
_cell_length_c 7.770
_cell_angle_alpha 90.00
_cell_angle_beta 90.00
_cell_angle_gamma 90.00
loop_
_space_group_symop_operation_xyz
'x,y,z'
'-x,-y,z+1/2'
'-x,y,z'
'x,-y,z+1/2'
loop_
_atom_site_label
_atom_site_type_symbol
_atom_site_fract_x
_atom_site_fract_y
_atom_site_fract_z
_atom_site_occupancy
As1 As 0.000 0.217 0.000 1
Pt1 Pt 0.000 0.356 0.687 1
Pb1 Pb 0.500 0.185 0.344 1
O1 O 0.500 0.263 0.662 1
# V: 150 Å³/cell
# spin magnetization: 0.0 μB/f.u.


B.
# AsPtPbO | OQMD | PBE-GGA | relaxed
data_AsPtPbO
_space_group_name_H-M_alt 'P 4/n m m'
_space_group_IT_number 129
_cell_length_a 4.094
_cell_length_b 4.094
_cell_length_c 9.943
_cell_angle_alpha 90.00
_cell_angle_beta 90.00
_cell_angle_gamma 90.00
loop_
_space_group_symop_operation_xyz
'x,y,z'
'-x,-y,-z'
'-y+1/2,x,z'
'y+1/2,-x,-z'
'-x+1/2,-y+1/2,z'
'x+1/2,y+1/2,-z'
'y,-x+1/2,z'
'-y,x+1/2,-z'
'x+1/2,-y,-z'
'-x+1/2,y,z'
'-y,-x,-z'
'y,x,z'
'-x,y+1/2,-z'
'x,-y+1/2,z'
'y+1/2,x+1/2,-z'
'-y+1/2,-x+1/2,z'
loop_
_atom_site_label
_atom_site_type_symbol
_atom_site_fract_x
_atom_site_fract_y
_atom_site_fract_z
_atom_site_occupancy
As1 As 0.250 0.250 0.145 1
Pt1 Pt 0.250 0.750 0.000 1
Pb1 Pb 0.250 0.250 0.618 1
O1 O 0.250 0.750 0.500 1
# V: 167 Å³/cell
# spin magnetization: 0.0 μB/f.u.


Taking the most stable structure as the zero point, the relative energies in eV/atom are A 0.432; B 0.000.


A.
# ScZnFeCu | OQMD | PBE-GGA | relaxed
data_ScZnFeCu
_space_group_name_H-M_alt 'F -4 3 m'
_space_group_IT_number 216
_space_group_name_Hall 'F -4 2 3'
_cell_length_a 6.130
_cell_length_b 6.130
_cell_length_c 6.130
_cell_angle_alpha 90.00
_cell_angle_beta 90.00
_cell_angle_gamma 90.00
loop_
_atom_site_label
_atom_site_type_symbol
_atom_site_fract_x
_atom_site_fract_y
_atom_site_fract_z
_atom_site_occupancy
Sc1 Sc 0.000 0.000 0.000 1
Zn1 Zn 0.000 0.000 0.500 1
Fe1 Fe 0.250 0.250 0.250 1
Cu1 Cu 0.250 0.250 0.750 1
# V: 230 Å³/cell
# spin magnetization: 1.5 μB/f.u.


B.
# ScZnFeCu | OQMD | PBE-GGA | relaxed
data_ScZnFeCu
_space_group_name_H-M_alt 'F -4 3 m'
_space_group_IT_number 216
_space_group_name_Hall 'F -4 2 3'
_cell_length_a 6.101
_cell_length_b 6.101
_cell_length_c 6.101
_cell_angle_alpha 90.00
_cell_angle_beta 90.00
_cell_angle_gamma 90.00
loop_
_atom_site_label
_atom_site_type_symbol
_atom_site_fract_x
_atom_site_fract_y
_atom_site_fract_z
_atom_site_occupancy
Sc1 Sc 0.000 0.000 0.000 1
Zn1 Zn 0.250 0.250 0.750 1
Fe1 Fe 0.000 0.000 0.500 1
Cu1 Cu 0.250 0.250 0.250 1
# V: 227 Å³/cell
# spin magnetization: 2.3 μB/f.u.


Taking the most stable structure as the zero point, the relative energies in eV/atom are A 0.006; B 0.000.


A.
# TmSnAuS3 | OQMD | PBE-GGA | relaxed
data_TmSnAuS3
_space_group_name_H-M_alt 'P n m a'
_space_group_IT_number 62
_cell_length_a 11.505
_cell_length_b 3.942
_cell_length_c 12.776
_cell_angle_alpha 90.00
_cell_angle_beta 90.00
_cell_angle_gamma 90.00
loop_
_space_group_symop_operation_xyz
'x,y,z'
'-x,-y,-z'
'-x+1/2,-y,z+1/2'
'x+1/2,y,-z+1/2'
'x+1/2,-y+1/2,-z+1/2'
'-x+1/2,y+1/2,z+1/2'
'-x,y+1/2,-z'
'x,-y+1/2,z'
loop_
_atom_site_label
_atom_site_type_symbol
_atom_site_fract_x
_atom_site_fract_y
_atom_site_fract_z
_atom_site_occupancy
Tm1 Tm 0.024 0.250 0.150 1
Sn1 Sn 0.155 0.250 0.568 1
Au1 Au 0.207 0.750 0.384 1
S1 S 0.026 0.750 0.298 1
S2 S 0.101 0.250 0.945 1
S3 S 0.244 0.750 0.683 1
# V: 579 Å³/cell
# spin magnetization: 0.0 μB/f.u.


B.
# TmSnAuS3 | OQMD | PBE-GGA | relaxed
data_TmSnAuS3
_space_group_name_H-M_alt 'P n m a'
_space_group_IT_number 62
_cell_length_a 10.014
_cell_length_b 3.976
_cell_length_c 14.496
_cell_angle_alpha 90.00
_cell_angle_beta 90.00
_cell_angle_gamma 90.00
loop_
_space_group_symop_operation_xyz
'x,y,z'
'-x,-y,-z'
'-x+1/2,-y,z+1/2'
'x+1/2,y,-z+1/2'
'x+1/2,-y+1/2,-z+1/2'
'-x+1/2,y+1/2,z+1/2'
'-x,y+1/2,-z'
'x,-y+1/2,z'
loop_
_atom_site_label
_atom_site_type_symbol
_atom_site_fract_x
_atom_site_fract_y
_atom_site_fract_z
_atom_site_occupancy
Tm1 Tm 0.166 0.250 0.037 1
Sn1 Sn 0.021 0.250 0.704 1
Au1 Au 0.196 0.250 0.352 1
S1 S 0.004 0.750 0.107 1
S2 S 0.158 0.250 0.510 1
S3 S 0.204 0.750 0.707 1
# V: 577 Å³/cell
# spin magnetization: 0.0 μB/f.u.


Taking the most stable structure as the zero point, the relative energies in eV/atom are A 0.057; B 0.000.